The following is a DFT calculation (PBE with a Hubbard U) of an optimized crystal structure of VO2F.

Geometry as CIF:
```
data_VO2F
_symmetry_space_group_name_H-M 'P 1'
_symmetry_Int_Tables_number 1
_symmetry_space_group_name_Hall 'P 1'
_cell_length_a 5.277
_cell_length_b 9.548
_cell_length_c 5.400
_cell_angle_alpha 108.82
_cell_angle_beta 121.80
_cell_angle_gamma 69.75
loop_
_atom_site_label
_atom_site_type_symbol
_atom_site_fract_x
_atom_site_fract_y
_atom_site_fract_z
V1 V 0.700 0.729 0.239
O1 O 0.335 0.376 0.553
O2 O 0.665 0.635 0.423
O3 O 0.888 0.382 0.668
V2 V 0.975 0.979 0.002
V3 V 0.515 0.482 0.542
O4 O 0.819 0.879 0.053
O5 O 0.205 0.138 0.936
O6 O 0.375 0.887 0.175
O7 O 0.639 0.130 0.821
F1 F 0.938 0.875 0.622
V4 V 0.270 0.233 0.782
F2 F 0.061 0.129 0.373
F3 F 0.120 0.632 0.318
O8 O 0.562 0.625 0.878
F4 F 0.434 0.386 0.116
```

Results
As for the total energy: -6.798 eV/atom.